A geometry-optimized LiBeAg2 structure, computed with PBE-GGA.

Space-group type: F-43m (216)
ΔE_f: 131 meV per atom
Final energy: -2.705 eV/atom

Unit cell a=4.3912 b=4.3912 c=4.3912 alpha=60.00 beta=60.00 gamma=60.00
With the nearest neighbours (Å) after each atom.
Element x y z (fractional)
Li  0.2500  0.2500  0.2500  4 Be 2.69, 4 Ag 2.69
Ag  0.0000  0.0000  0.0000  4 Li 2.69, 4 Ag 2.69
Be  0.5000  0.5000  0.5000  4 Ag 2.69, 4 Li 2.69
Ag  0.7500  0.7500  0.7500  4 Be 2.69, 4 Ag 2.69

***

A geometry-optimized TbHo3Ga8 structure, computed with PBE-GGA.

Space-group type: R3m (160)
ΔE_f: -552 meV per atom
Final energy: -4.100 eV/atom

Unit cell a=5.4774 b=5.4774 c=9.6011 alpha=73.43 beta=73.43 gamma=60.00
With the nearest neighbours (Å) after each atom.
Element x y z (fractional)
Tb  0.8755  0.8755  0.3735  12 Ga 3.22-3.26, 4 Ho 3.37
Ga  0.6876  0.6876  0.9373  6 Ga 2.76
Ga  0.9374  0.9374  0.6882  6 Ga 2.74-2.77
Ga  0.9378  0.4377  0.1868  6 Ga 2.74-2.77
Ga  0.9374  0.4371  0.6882  6 Ga 2.74-2.77
Ga  0.4377  0.4377  0.1868  6 Ga 2.74-2.77
Ga  0.4371  0.9374  0.6882  6 Ga 2.74-2.77
Ho  0.4993  0.4993  0.5021  12 Ga 3.22-3.27, 1 Ho 3.36, 3 Tb 3.37
Ho  0.3757  0.3757  0.8730  12 Ga 3.21-3.25, 4 Ho 3.36-3.37
Ga  0.1874  0.1874  0.4377  6 Ga 2.77
Ho  0.9995  0.9995  0.0016  12 Ga 3.21-3.25, 3 Ho 3.37, 1 Tb 3.37
Ga  0.4377  0.9378  0.1868  6 Ga 2.74-2.77

***

A geometry-optimized Sc2Al3Ru structure, computed with PBE-GGA.

Space-group type: P6_3/mmc (194)
ΔE_f: -652 meV per atom
Final energy: -6.180 eV/atom

Unit cell a=5.2985 b=5.2985 c=8.5481 alpha=90.00 beta=90.00 gamma=120.00
With the nearest neighbours (Å) after each atom.
Element x y z (fractional)
Ru  0.0000  0.0000  0.0000  6 Al 2.62
Al  0.6697  0.8348  0.7500  2 Ru 2.62, 4 Al 2.63-2.67
Sc  0.3333  0.6667  0.4444  9 Al 3.03-3.13, 3 Ru 3.10, 4 Sc 3.20-3.32
Al  0.1652  0.3303  0.7500  2 Ru 2.62, 4 Al 2.63-2.67
Sc  0.6667  0.3333  0.5556  9 Al 3.03-3.13, 3 Ru 3.10, 4 Sc 3.20-3.32
Al  0.8348  0.6697  0.2500  2 Ru 2.62, 4 Al 2.63-2.67
Al  0.1652  0.8348  0.7500  2 Ru 2.62, 4 Al 2.63-2.67
Sc  0.6667  0.3333  0.9444  9 Al 3.03-3.13, 3 Ru 3.10, 4 Sc 3.20-3.32
Al  0.8348  0.1652  0.2500  2 Ru 2.62, 4 Al 2.63-2.67
Ru  0.0000  0.0000  0.5000  6 Al 2.62
Al  0.3303  0.1652  0.2500  2 Ru 2.62, 4 Al 2.63-2.67
Sc  0.3333  0.6667  0.0556  9 Al 3.03-3.13, 3 Ru 3.10, 4 Sc 3.20-3.32

***

A geometry-optimized HPtS structure, computed with PBE-GGA.

Space-group type: Cm (8)
Final energy: -4.472 eV/atom

Unit cell a=3.8127 b=3.8144 c=3.8171 alpha=64.21 beta=64.17 gamma=64.09
With the nearest neighbours (Å) after each atom.
Element x y z (fractional)
H  0.7340  0.4738  0.8739  1 Pt 1.57
Pt  0.9069  0.6472  0.0485  1 H 1.57
S  0.1858  0.9266  0.3286  4 Pt 2.39-2.53, 3 H 2.57-2.58